Record 1
Nd2Zn2Co15 PBE-GGA relaxed; total magnetization = 20.739 μB/cell; crystal system = trigonal; formation energy from the elements = -49 meV/atom; space group = R-3m, No. 166
1.0
4.228 2.441 4.062
-4.228 2.441 4.062
0.000 -4.882 4.062
Nd Zn Co
2 2 15
direct
0.152 0.152 0.152
0.848 0.848 0.848
0.398 0.398 0.398
0.602 0.602 0.602
0.000 0.500 0.500
0.153 0.153 0.651
0.153 0.651 0.153
0.213 0.500 0.787
0.213 0.787 0.500
0.349 0.847 0.847
0.500 0.000 0.500
0.500 0.213 0.787
0.500 0.500 0.000
0.500 0.787 0.213
0.651 0.153 0.153
0.787 0.213 0.500
0.787 0.500 0.213
0.847 0.349 0.847
0.847 0.847 0.349


Record 2
Nd4ZnCo3 PBE-GGA relaxed; total magnetization = 1.346 μB/cell; crystal system = orthorhombic; formation energy from the elements = -98 meV/atom; space group = Pmm2, No. 25
1.0
4.082 0.000 0.000
0.000 4.141 0.000
0.000 0.000 10.937
Nd Zn Co
4 1 3
direct
0.000 0.000 0.000
0.000 0.500 0.278
0.500 0.000 0.487
0.500 0.500 0.773
0.000 0.000 0.696
0.000 0.500 0.568
0.500 0.000 0.187
0.500 0.500 0.092


Record 3
Nd6Zn2Co PBE-GGA relaxed; total magnetization = 0.000 μB/cell; crystal system = monoclinic; formation energy from the elements = -80 meV/atom; space group = P2_1/c, No. 14
1.0
6.931 0.000 0.000
0.000 7.317 0.000
-6.714 0.000 10.463
Nd Zn Co
12 4 2
direct
0.134 0.008 0.249
0.134 0.492 0.749
0.241 0.686 0.051
0.241 0.814 0.551
0.362 0.195 0.049
0.362 0.305 0.549
0.638 0.695 0.451
0.638 0.805 0.951
0.759 0.186 0.449
0.759 0.314 0.949
0.866 0.508 0.251
0.866 0.992 0.751
0.303 0.092 0.755
0.303 0.408 0.255
0.697 0.592 0.745
0.697 0.908 0.245
0.000 0.000 0.000
0.000 0.500 0.500


Record 4
Nd3ZnCo PBE-GGA relaxed; total magnetization = 0.000 μB/cell; E above lowest polymorph = 7 meV/atom; crystal system = monoclinic; formation energy from the elements = -121 meV/atom; space group = C2/m, No. 12
1.0
5.235 -3.218 0.000
5.235 3.218 0.000
-3.878 0.000 7.762
Nd Zn Co
6 2 2
direct
0.027 0.027 0.226
0.295 0.295 0.675
0.316 0.316 0.129
0.684 0.684 0.871
0.705 0.705 0.325
0.973 0.973 0.774
0.295 0.705 0.500
0.705 0.295 0.500
0.316 0.684 0.000
0.684 0.316 0.000


Record 5
Nd2ZnCo PBE-GGA relaxed; total magnetization = 0.000 μB/cell; crystal system = monoclinic; formation energy from the elements = -161 meV/atom; space group = P2_1/m, No. 11
1.0
6.206 0.000 0.000
0.000 3.881 0.000
-2.788 0.000 7.895
Nd Zn Co
4 2 2
direct
0.208 0.250 0.409
0.216 0.250 0.947
0.784 0.750 0.053
0.792 0.750 0.591
0.379 0.750 0.717
0.621 0.250 0.283
0.323 0.750 0.212
0.677 0.250 0.788


Record 6
Nd3Zn2Co7 PBE-GGA relaxed; total magnetization = 6.327 μB/cell; crystal system = trigonal; formation energy from the elements = -97 meV/atom; space group = R-3m, No. 166
1.0
2.568 1.483 8.289
-2.568 1.483 8.289
0.000 -2.965 8.289
Nd Zn Co
3 2 7
direct
0.000 0.000 0.000
0.140 0.140 0.140
0.860 0.860 0.860
0.333 0.333 0.333
0.667 0.667 0.667
0.086 0.581 0.581
0.419 0.419 0.914
0.419 0.914 0.419
0.500 0.500 0.500
0.581 0.086 0.581
0.581 0.581 0.086
0.914 0.419 0.419


Record 7
Nd3ZnCo PBE-GGA relaxed; total magnetization = 0.000 μB/cell; E above lowest polymorph = 187 meV/atom; crystal system = cubic; formation energy from the elements = 59 meV/atom; space group = Pm-3m, No. 221
1.0
5.271 0.000 0.000
0.000 5.271 0.000
0.000 0.000 5.271
Nd Zn Co
3 1 1
direct
0.000 0.000 0.500
0.000 0.500 0.000
0.500 0.000 0.000
0.500 0.500 0.500
0.000 0.000 0.000


Record 8
Nd6Zn3Co PBE-GGA relaxed; total magnetization = 0.000 μB/cell; crystal system = monoclinic; formation energy from the elements = -91 meV/atom; space group = P2_1/c, No. 14
1.0
8.041 0.000 0.000
0.000 7.386 0.000
-4.343 0.000 9.341
Nd Zn Co
12 6 2
direct
0.057 0.003 0.286
0.057 0.497 0.786
0.281 0.741 0.598
0.281 0.759 0.098
0.284 0.240 0.100
0.284 0.260 0.600
0.716 0.740 0.400
0.716 0.760 0.900
0.719 0.241 0.902
0.719 0.259 0.402
0.943 0.503 0.214
0.943 0.997 0.714
0.369 0.001 0.871
0.369 0.499 0.371
0.500 0.000 0.500
0.500 0.500 0.000
0.631 0.501 0.629
0.631 0.999 0.129
0.000 0.000 0.000
0.000 0.500 0.500


Record 9
Nd3Zn3Co2 PBE-GGA relaxed; total magnetization = 0.000 μB/cell; crystal system = orthorhombic; formation energy from the elements = -212 meV/atom; space group = Cmcm, No. 63
1.0
1.978 -5.287 0.000
1.978 5.287 0.000
0.000 0.000 15.954
Nd Zn Co
6 6 4
direct
0.061 0.939 0.605
0.061 0.939 0.895
0.339 0.661 0.750
0.661 0.339 0.250
0.939 0.061 0.105
0.939 0.061 0.395
0.335 0.665 0.534
0.335 0.665 0.966
0.369 0.631 0.250
0.631 0.369 0.750
0.665 0.335 0.034
0.665 0.335 0.466
0.235 0.765 0.118
0.235 0.765 0.382
0.765 0.235 0.618
0.765 0.235 0.882


Record 10
NdZn10Co2 PBE-GGA relaxed; total magnetization = 2.485 μB/cell; crystal system = orthorhombic; formation energy from the elements = -165 meV/atom; space group = Fmmm, No. 69
1.0
0.000 6.342 6.362
2.480 0.000 6.362
2.480 6.342 0.000
Nd Zn Co
1 10 2
direct
0.000 0.000 0.000
0.000 0.500 0.000
0.014 0.650 0.350
0.277 0.508 0.492
0.350 0.986 0.014
0.492 0.723 0.277
0.500 0.000 0.500
0.508 0.277 0.723
0.650 0.014 0.986
0.723 0.492 0.508
0.986 0.350 0.650
0.000 0.000 0.500
0.500 0.500 0.000


Record 11
Nd4Zn3Co PBE-GGA relaxed; total magnetization = 0.614 μB/cell; crystal system = tetragonal; formation energy from the elements = -214 meV/atom; space group = P4/mmm, No. 123
1.0
3.620 0.000 0.000
0.000 3.620 0.000
0.000 0.000 14.719
Nd Zn Co
4 3 1
direct
0.000 0.000 0.114
0.000 0.000 0.373
0.000 0.000 0.627
0.000 0.000 0.886
0.500 0.500 0.246
0.500 0.500 0.500
0.500 0.500 0.754
0.500 0.500 0.000


Record 12
Nd2ZnCo PBE-GGA relaxed; total magnetization = 0.589 μB/cell; crystal system = tetragonal; formation energy from the elements = -121 meV/atom; space group = P4/mmm, No. 123
1.0
3.540 0.000 0.000
0.000 3.540 0.000
0.000 0.000 7.366
Nd Zn Co
2 1 1
direct
0.000 0.000 0.231
0.000 0.000 0.769
0.500 0.500 0.500
0.500 0.500 0.000